A relaxed structure of La6SmY2Sc. Source: Alexandria, functional PBE-GGA.

- total moment (μB/f.u.) = 0.00
- volume (Å³/atom) = 35.26
- DFT formation energy (eV/atom) = 0.212

Cell lengths 7.0153, 7.0153, 8.8267 Å; angles 106.33, 106.33, 59.06 degrees
Fractional coordinates of all 10 atoms:
La1 0.0924 0.6109 0.6939
La2 0.1606 0.1606 0.9002
La3 0.3891 0.9076 0.3061
La4 0.6109 0.0924 0.6939
La5 0.8394 0.8394 0.0998
La6 0.9076 0.3891 0.3061
Sm1 0.5000 0.5000 0.0000
Y1 0.3979 0.3979 0.3233
Y2 0.6021 0.6021 0.6767
Sc1 0.0000 0.0000 0.5000

A relaxed structure of Sr2Cd12GaAg3. Source: Alexandria, functional PBE-GGA.

- total moment (μB/f.u.) = 0.00
- volume (Å³/atom) = 25.41
- DFT formation energy (eV/atom) = -0.041

Cell lengths 14.8106, 14.8106, 14.8106 Å; angles 23.60, 23.60, 23.60 degrees
Fractional coordinates of all 18 atoms:
Sr1 0.1481 0.1481 0.1481
Sr2 0.8519 0.8519 0.8519
Cd1 0.1081 0.1081 0.6267
Cd2 0.1081 0.6267 0.1081
Cd3 0.1098 0.6102 0.6102
Cd4 0.3733 0.8919 0.8919
Cd5 0.3898 0.3898 0.8902
Cd6 0.3898 0.8902 0.3898
Cd7 0.6102 0.1098 0.6102
Cd8 0.6102 0.6102 0.1098
Cd9 0.6267 0.1081 0.1081
Cd10 0.8902 0.3898 0.3898
Cd11 0.8919 0.3733 0.8919
Cd12 0.8919 0.8919 0.3733
Ga1 0.5000 0.5000 0.5000
Ag1 0.0000 0.5000 0.5000
Ag2 0.5000 0.0000 0.5000
Ag3 0.5000 0.5000 0.0000

A relaxed structure of Hf12TaSn6. Source: Alexandria, functional PBE-GGA.

- total moment (μB/f.u.) = 0.00
- volume (Å³/atom) = 24.87
- DFT formation energy (eV/atom) = 0.218

Cell lengths 7.9609, 7.9609, 7.9609 Å; angles 101.00, 101.00, 101.00 degrees
Fractional coordinates of all 19 atoms:
Hf1 0.0029 0.3323 0.0478
Hf2 0.0478 0.0029 0.3323
Hf3 0.2206 0.3966 0.5157
Hf4 0.3323 0.0478 0.0029
Hf5 0.3966 0.5157 0.2206
Hf6 0.4843 0.7794 0.6034
Hf7 0.5157 0.2206 0.3966
Hf8 0.6034 0.4843 0.7794
Hf9 0.6677 0.9522 0.9971
Hf10 0.7794 0.6034 0.4843
Hf11 0.9522 0.9971 0.6677
Hf12 0.9971 0.6677 0.9522
Ta1 0.0000 0.0000 0.0000
Sn1 0.1070 0.6615 0.3439
Sn2 0.3385 0.6561 0.8930
Sn3 0.3439 0.1070 0.6615
Sn4 0.6561 0.8930 0.3385
Sn5 0.6615 0.3439 0.1070
Sn6 0.8930 0.3385 0.6561